Here is a relaxed PrDyAlHg crystal from the Alexandria database. Energies are from PBE.

It has space group F-43m (No. 216), with a = 7.522 Å, b = 7.522 Å, c = 7.522 Å, α = 90.00°, β = 90.00° and γ = 90.00°. The asymmetric unit holds Pr at (0.000, 0.000, 0.000), Dy at (0.000, 0.000, 0.500), Al at (0.250, 0.250, 0.750) and Hg at (0.250, 0.250, 0.250).

The value obtained for the formation enthalpy at 0 K is -1.52 eV/f.u.